[1]
This record from the Alexandria database describes a relaxed structure of Ce2PaTc3. The functional is GGA-PBE.

Cell lengths 5.883, 8.388, 7.224 Å; angles 125.49, 114.03, 90.00 degrees
Positions (direct):
Ce 0.167 0.917 0.833
Ce 0.167 0.417 0.833
Ce 0.833 0.583 0.167
Ce 0.833 0.083 0.167
Pa 0.500 0.250 0.500
Pa 0.500 0.750 0.500
Tc 0.000 0.750 0.000
Tc 0.000 0.250 0.000
Tc 0.500 0.750 0.000
Tc 0.000 0.000 0.500
Tc 0.000 0.500 0.500
Tc 0.500 0.250 0.000

Output
Formation energy from the elements in meV/atom: 282.0
VASP energy in eV per atom: -8.4616
Symmetry: P6/mmm (191)

[2]
This record from the Alexandria database describes a relaxed structure of CeThPaTc. The functional is GGA-PBE.

Cell lengths 5.079, 5.079, 5.079 Å; angles 60.00, 60.00, 60.00 degrees
Positions (direct):
Pa 0.500 0.500 0.500
Ce 0.750 0.750 0.750
Th 0.000 0.000 0.000
Tc 0.250 0.250 0.250

Output
Formation energy from the elements in meV/atom: 154.7
VASP energy in eV per atom: -8.1492
Symmetry: F-43m (216)